The following is a PBE-GGA calculation of a relaxed Mg2BeFe crystal, from Alexandria.

Properties
**Electronic total energy**: -3.572 eV per atom
**Calculated formation energy**: 26.2 kJ/mol of atoms
**Symmetry**: Pm, No. 6

Cell: 4.057 2.853 5.391 Å, 74.80 90.00 90.00°
Sites, in units of the cell vectors:
Be 0.000 0.670 0.527
Mg 0.000 0.966 0.946
Mg 0.500 0.291 0.294
Fe 0.500 0.573 0.732

The following is a PBE-GGA calculation of a relaxed KNaEuPb crystal, from Alexandria.

Properties
**Electronic total energy**: -4.289 eV per atom
**Calculated formation energy**: -18.3 kJ/mol of atoms
**Symmetry**: F-43m, No. 216

Cell: 5.764 5.764 5.764 Å, 60.00 60.00 60.00°
Sites, in units of the cell vectors:
Pb 0.500 0.500 0.500
Eu 0.250 0.250 0.250
K 0.000 0.000 0.000
Na 0.750 0.750 0.750

The following is a PBE-GGA calculation of a relaxed AlSe crystal, from Alexandria.

Properties
**E_form (uncorrected)**: -321 meV/atom
**Electronic total energy**: -3.934 eV per atom
**Symmetry**: I4/m, No. 87

Cell: 8.963 8.963 5.363 Å, 90.00 90.00 90.00°
Sites, in units of the cell vectors:
Al 0.386 0.162 0.000
Al 0.614 0.838 0.000
Al 0.838 0.386 0.000
Al 0.162 0.614 0.000
Al 0.886 0.662 0.500
Al 0.114 0.338 0.500
Al 0.338 0.886 0.500
Al 0.662 0.114 0.500
Se 0.318 0.882 0.000
Se 0.682 0.118 0.000
Se 0.118 0.318 0.000
Se 0.882 0.682 0.000
Se 0.818 0.382 0.500
Se 0.182 0.618 0.500
Se 0.618 0.818 0.500
Se 0.382 0.182 0.500

The following is a PBE-GGA calculation of a relaxed Ho2BHRh6 crystal, from Alexandria.

Properties
**Electronic total energy**: -7.054 eV per atom
**Symmetry**: C2/m, No. 12

Cell: 5.848 5.848 5.840 Å, 59.89 59.89 90.02°
Sites, in units of the cell vectors:
Ho 0.751 0.249 0.500
Ho 0.249 0.751 0.500
B 0.500 0.500 0.000
H 0.000 0.000 0.000
Rh 0.245 0.245 0.511
Rh 0.754 0.754 0.001
Rh 0.245 0.755 0.000
Rh 0.755 0.245 0.000
Rh 0.246 0.246 0.999
Rh 0.755 0.755 0.489

The following is a PBE-GGA calculation of a relaxed NaTl2MoS4 crystal, from Alexandria.

Properties
**E_form (uncorrected)**: -528 meV/atom
**Electronic total energy**: -4.702 eV per atom
**Symmetry**: I-4, No. 82

Cell: 7.563 7.563 7.563 Å, 76.26 128.22 128.22°
Sites, in units of the cell vectors:
Na 0.500 0.250 0.750
Tl 0.500 0.750 0.250
Tl 0.000 0.000 0.000
Mo 0.000 0.500 0.500
S 0.608 0.395 0.430
S 0.035 0.213 0.605
S 0.965 0.570 0.178
S 0.392 0.822 0.787

The following is a PBE-GGA calculation of a relaxed Pm2Nd2Hg crystal, from Alexandria.

Properties
**Electronic total energy**: -3.965 eV per atom
**Calculated formation energy**: -9.4 kJ/mol of atoms
**Offset from the most stable computed form**: 84.1 meV/atom
**Symmetry**: C2/m, No. 12

Cell: 8.577 6.434 9.238 Å, 68.84 57.20 48.20°
Sites, in units of the cell vectors:
Pm 0.671 0.375 0.721
Pm 0.329 0.625 0.279
Pm 0.045 0.625 0.721
Pm 0.955 0.375 0.279
Nd 0.734 0.000 0.424
Nd 0.604 0.000 0.115
Nd 0.396 0.000 0.885
Nd 0.266 0.000 0.576
Hg 0.163 0.675 0.000
Hg 0.837 0.325 0.000

The following is a PBE-GGA calculation of a relaxed Li3PbF7 crystal, from Alexandria.

Properties
**E_form (uncorrected)**: -2470 meV/atom
**Electronic total energy**: -4.520 eV per atom
**Symmetry**: Cm, No. 8

Cell: 5.197 5.197 5.748 Å, 72.08 72.08 100.43°
Sites, in units of the cell vectors:
Li 0.787 0.286 0.458
Li 0.450 0.450 0.133
Li 0.286 0.787 0.458
Pb 0.965 0.965 0.006
F 0.128 0.128 0.247
F 0.650 0.144 0.194
F 0.006 0.346 0.694
F 0.144 0.650 0.194
F 0.608 0.608 0.347
F 0.346 0.006 0.694
F 0.755 0.755 0.824

The following is a PBE-GGA calculation of a relaxed ScSe3Br crystal, from Alexandria.

Properties
**E_form (uncorrected)**: 350 meV/atom
**Electronic total energy**: -3.342 eV per atom
**Offset from the most stable computed form**: 574.8 meV/atom
**Symmetry**: Pm-3m, No. 221

Cell: 5.105 5.105 5.105 Å, 90.00 90.00 90.00°
Sites, in units of the cell vectors:
Sc 0.500 0.500 0.500
Se 0.000 0.500 0.000
Se 0.000 0.000 0.500
Se 0.500 0.000 0.000
Br 0.000 0.000 0.000

The following is a PBE-GGA calculation of a relaxed Tl2CrGe crystal, from Alexandria.

Properties
**Electronic total energy**: -4.221 eV per atom
**Calculated formation energy**: 50.4 kJ/mol of atoms
**Offset from the most stable computed form**: 45.6 meV/atom
**Symmetry**: Fm-3m, No. 225

Cell: 5.102 5.102 5.102 Å, 60.00 60.00 60.00°
Sites, in units of the cell vectors:
Cr 0.000 0.000 0.000
Tl 0.250 0.250 0.250
Tl 0.750 0.750 0.750
Ge 0.500 0.500 0.500

DOS(E_F) values, unit states/eV per cell, following the record order: 2.4; 14.3; 6.6; 6.5; 2.5; 11.1; 0.0; 2.5; 1.4.